P) Compound: Cd6Pd2Au
Source: the Alexandria database
Functional: GGA-PBE
Structure: optimized geometry Values from VASP.

Geometry as Quantum ESPRESSO input:
```
&SYSTEM
  ibrav = 0, nat = 9, ntyp = 3
/
ATOMIC_SPECIES
Cd 112.41 Cd.upf
Pd 106.42 Pd.upf
Au 196.97 Au.upf
CELL_PARAMETERS angstrom
-1.1336 0.3423 4.1132
-2.1881 -3.8864 -2.5067
5.0524 -7.2168 1.9929
ATOMIC_POSITIONS angstrom
Cd 3.2482 -7.8717 3.7772
Cd -1.5174 -2.8892 -0.1778
Cd 0.8993 -1.2965 0.3557
Cd 0.1561 -5.3434 0.4876
Cd 0.8315 -9.4645 3.2437
Cd 1.5746 -5.4176 3.1118
Pd 1.8601 -7.6850 1.1521
Pd -0.1293 -3.0759 2.4474
Au 2.5262 -3.6084 0.9965
```

Output
spin magnetization: 0.0 μB/f.u.
DOS at the Fermi energy: 3.1 states/eV per cell

Q) Compound: Cd6Pd2Au
Source: the Alexandria database
Functional: GGA-PBE
Structure: optimized geometry Values from VASP.

Geometry as Quantum ESPRESSO input:
```
&SYSTEM
  ibrav = 0, nat = 9, ntyp = 3
/
ATOMIC_SPECIES
Cd 112.41 Cd.upf
Pd 106.42 Pd.upf
Au 196.97 Au.upf
CELL_PARAMETERS angstrom
-1.6990 1.2513 4.1229
-3.0790 -5.7194 0.4669
7.9511 -0.5287 0.5423
ATOMIC_POSITIONS angstrom
Cd 1.1019 -2.4297 1.0703
Cd 3.5524 0.1845 3.8372
Cd 2.0711 -2.5671 4.0618
Cd -1.6420 -0.8465 2.1816
Cd -0.3794 -5.1812 1.2950
Cd -3.1361 -3.6216 2.4082
Pd -0.5185 -3.1648 3.2287
Pd 3.6915 -1.8320 1.9034
Au 0.0000 0.0000 0.0000
```

Output
spin magnetization: 0.0 μB/f.u.
DOS at the Fermi energy: 3.5 states/eV per cell

Stability verdict: P), ahead by 30 meV per atom

P) Compound: Cd2Pd7Au2
Source: the Alexandria database
Functional: GGA-PBE
Structure: optimized geometry Values from VASP.

Geometry as Quantum ESPRESSO input:
```
&SYSTEM
  ibrav = 0, nat = 11, ntyp = 3
/
ATOMIC_SPECIES
Cd 112.41 Cd.upf
Pd 106.42 Pd.upf
Au 196.97 Au.upf
CELL_PARAMETERS angstrom
4.8715 -0.6291 -0.9079
-1.0963 6.3724 1.0191
-1.0963 -1.2836 6.3244
ATOMIC_POSITIONS angstrom
Cd 1.3395 -0.1523 4.8685
Cd 1.3395 4.6119 1.5671
Pd -0.6333 5.2672 3.4160
Pd 3.3123 3.1109 0.3043
Pd 3.3123 -0.8075 3.0196
Pd -0.6333 1.3488 6.1313
Pd 0.0000 0.0000 0.0000
Pd 0.5997 3.4935 5.0414
Pd 2.0793 0.9662 1.3942
Au -0.0730 1.9173 2.7668
Au 2.7520 2.5424 3.6689
```

Output
spin magnetization: 0.0 μB/f.u.
DOS at the Fermi energy: 8.2 states/eV per cell

Q) Compound: Cd2Pd7Au2
Source: the Alexandria database
Functional: GGA-PBE
Structure: optimized geometry Values from VASP.

Geometry as Quantum ESPRESSO input:
```
&SYSTEM
  ibrav = 0, nat = 11, ntyp = 3
/
ATOMIC_SPECIES
Cd 112.41 Cd.upf
Pd 106.42 Pd.upf
Au 196.97 Au.upf
CELL_PARAMETERS angstrom
-1.3082 0.2921 3.7795
1.3192 -7.6410 1.0472
5.6948 4.9159 -0.5363
ATOMIC_POSITIONS angstrom
Cd 0.8399 -4.8646 0.6667
Cd -0.2041 -2.4605 2.2470
Pd 1.7456 1.3380 0.5008
Pd 2.3405 -2.4025 0.9958
Pd 0.5279 -6.7002 2.8280
Pd 4.0288 -0.1032 1.4024
Pd 2.0034 -4.2199 3.1470
Pd 3.6415 -1.9248 3.5366
Pd 3.0153 1.9971 3.0167
Au 4.5231 -3.9295 1.8692
Au 1.4991 -0.3354 2.6722
```

Output
spin magnetization: 0.0 μB/f.u.
DOS at the Fermi energy: 6.7 states/eV per cell

Stability verdict: Q), ahead by 24 meV per atom

P) Compound: Cd2Pd2Au3
Source: the Alexandria database
Functional: GGA-PBE
Structure: optimized geometry Values from VASP.

Geometry as Quantum ESPRESSO input:
```
&SYSTEM
  ibrav = 0, nat = 7, ntyp = 3
/
ATOMIC_SPECIES
Cd 112.41 Cd.upf
Pd 106.42 Pd.upf
Au 196.97 Au.upf
CELL_PARAMETERS angstrom
2.9440 0.0068 0.0008
1.4336 6.2592 2.3012
-0.0026 0.6069 7.1905
ATOMIC_POSITIONS angstrom
Cd 1.4662 1.5929 2.0529
Cd 2.9088 5.2799 7.4396
Pd 1.4435 5.4664 4.9922
Pd 2.9315 1.4064 4.5003
Au 0.0000 0.0000 0.0000
Au 1.4510 3.0144 6.3336
Au 2.9240 3.8585 3.1588
```

Output
spin magnetization: 0.0 μB/f.u.
DOS at the Fermi energy: 2.3 states/eV per cell

Q) Compound: Cd2Pd2Au3
Source: the Alexandria database
Functional: GGA-PBE
Structure: optimized geometry Values from VASP.

Geometry as Quantum ESPRESSO input:
```
&SYSTEM
  ibrav = 0, nat = 7, ntyp = 3
/
ATOMIC_SPECIES
Cd 112.41 Cd.upf
Pd 106.42 Pd.upf
Au 196.97 Au.upf
CELL_PARAMETERS angstrom
-1.8356 3.5254 -1.1731
-0.4993 -1.1254 -2.6010
-8.8286 -5.6418 4.1358
ATOMIC_POSITIONS angstrom
Cd -2.4820 -0.9850 0.9026
Cd -8.1822 -1.1314 2.0601
Pd -8.6955 -3.9269 1.7763
Pd -2.4680 0.6851 -1.4146
Au -5.6756 -2.2596 2.0671
Au 0.0000 0.0000 0.0000
Au -4.9886 0.1432 0.8956
```

Output
spin magnetization: 0.0 μB/f.u.
DOS at the Fermi energy: 1.8 states/eV per cell

Stability verdict: P), ahead by 74 meV per atom

P) Compound: CdPd4Au3
Source: the Alexandria database
Functional: GGA-PBE
Structure: optimized geometry Values from VASP.

Geometry as Quantum ESPRESSO input:
```
&SYSTEM
  ibrav = 0, nat = 8, ntyp = 3
/
ATOMIC_SPECIES
Cd 112.41 Cd.upf
Pd 106.42 Pd.upf
Au 196.97 Au.upf
CELL_PARAMETERS angstrom
-1.3156 3.6195 -4.7168
-2.0759 -5.6575 0.8736
-2.1819 0.4017 5.6707
ATOMIC_POSITIONS angstrom
Cd -2.8938 0.3585 -1.5948
Pd -3.4770 -3.6233 4.9896
Pd -1.3417 -0.9876 1.7077
Pd -4.1440 -1.8031 2.6235
Pd -2.4394 -0.7788 4.5551
Au -3.0934 1.0231 2.1872
Au -1.1258 1.2944 0.3071
Au -3.0439 -2.0109 -0.2059
```

Output
spin magnetization: 0.0 μB/f.u.
DOS at the Fermi energy: 4.0 states/eV per cell

Q) Compound: CdPd4Au3
Source: the Alexandria database
Functional: GGA-PBE
Structure: optimized geometry Values from VASP.

Geometry as Quantum ESPRESSO input:
```
&SYSTEM
  ibrav = 0, nat = 16, ntyp = 3
/
ATOMIC_SPECIES
Au 196.97 Au.upf
Pd 106.42 Pd.upf
Cd 112.41 Cd.upf
CELL_PARAMETERS angstrom
4.7473 0.0000 0.0000
0.0000 6.1077 0.0000
0.0000 0.0000 9.3263
ATOMIC_POSITIONS angstrom
Au 0.0000 0.0000 0.0000
Au 0.0000 0.0000 4.6631
Au 2.8467 0.0000 6.9947
Au 1.9006 0.0000 2.3316
Au 2.8087 3.0538 6.9947
Au 1.9386 3.0538 2.3316
Pd 2.3737 4.5844 0.0000
Pd 2.3737 4.5844 4.6631
Pd 2.3737 1.5232 0.0000
Pd 2.3737 1.5232 4.6631
Pd 0.4744 4.5880 6.9947
Pd 4.2729 4.5880 2.3316
Pd 4.2729 1.5196 2.3316
Pd 0.4744 1.5196 6.9947
Cd 0.0000 3.0538 0.0000
Cd 0.0000 3.0538 4.6631
```

Output
spin magnetization: 0.0 μB/f.u.
DOS at the Fermi energy: 2.4 states/eV per cell

Stability verdict: Q), ahead by 159 meV per atom

P) Compound: CdPd7Au4
Source: the Alexandria database
Functional: GGA-PBE
Structure: optimized geometry Values from VASP.

Geometry as Quantum ESPRESSO input:
```
&SYSTEM
  ibrav = 0, nat = 12, ntyp = 3
/
ATOMIC_SPECIES
Cd 112.41 Cd.upf
Pd 106.42 Pd.upf
Au 196.97 Au.upf
CELL_PARAMETERS angstrom
-3.7019 -2.5577 3.5438
3.7525 -2.2301 2.3080
-0.3838 2.4331 8.1916
ATOMIC_POSITIONS angstrom
Cd 0.0000 0.0000 0.0000
Pd -1.2840 -0.6010 11.9962
Pd 0.9508 -1.7537 2.0472
Pd 0.9912 0.8830 6.2440
Pd -1.3244 -3.2377 7.7993
Pd 1.9404 -0.8635 8.2801
Pd -1.8510 -1.2789 1.7719
Pd -2.2736 -1.4912 5.7633
Au 0.5283 -1.9443 6.0350
Au -0.8615 -0.4104 8.0084
Au 0.0822 -2.1488 10.0656
Au -0.4154 -0.2059 3.9778
```

Output
spin magnetization: 0.0 μB/f.u.
DOS at the Fermi energy: 12.2 states/eV per cell

Q) Compound: CdPd7Au4
Source: the Alexandria database
Functional: GGA-PBE
Structure: optimized geometry Values from VASP.

Geometry as Quantum ESPRESSO input:
```
&SYSTEM
  ibrav = 0, nat = 12, ntyp = 3
/
ATOMIC_SPECIES
Cd 112.41 Cd.upf
Pd 106.42 Pd.upf
Au 196.97 Au.upf
CELL_PARAMETERS angstrom
4.9527 0.0000 0.0000
2.4763 8.6483 -0.2554
2.4763 0.0215 5.0722
ATOMIC_POSITIONS angstrom
Cd 0.0000 0.0000 0.0000
Pd 7.4290 7.9316 2.2604
Pd 2.4763 0.7383 2.5564
Pd 2.4763 5.3531 1.4087
Pd 7.4290 3.3168 3.4080
Pd 4.9527 4.7047 3.7613
Pd 2.4763 0.0000 0.0000
Pd 4.9527 3.9651 1.0555
Au 4.9527 1.9846 2.9687
Au 4.9527 6.6852 1.8480
Au 7.4290 5.9770 4.1860
Au 2.4763 2.6929 0.6307
```

Output
spin magnetization: 0.0 μB/f.u.
DOS at the Fermi energy: 12.4 states/eV per cell

Stability verdict: P), ahead by 226 meV per atom

P) Compound: Cd2Pd3Au
Source: the Alexandria database
Functional: GGA-PBE
Structure: optimized geometry Values from VASP.

Geometry as Quantum ESPRESSO input:
```
&SYSTEM
  ibrav = 0, nat = 6, ntyp = 3
/
ATOMIC_SPECIES
Cd 112.41 Cd.upf
Pd 106.42 Pd.upf
Au 196.97 Au.upf
CELL_PARAMETERS angstrom
-2.3083 -2.3283 -1.7779
3.1191 -2.9494 -0.1872
-3.4897 -0.9248 5.7418
ATOMIC_POSITIONS angstrom
Cd -1.2994 -1.6154 3.8024
Cd 0.9288 -2.2589 1.7522
Pd 0.4054 -2.6389 -0.9825
Pd -0.8757 -4.2316 2.7665
Pd -1.8031 -1.9710 1.0102
Au 0.0000 0.0000 0.0000
```

Output
spin magnetization: 0.0 μB/f.u.
DOS at the Fermi energy: 2.2 states/eV per cell

Q) Compound: Cd2Pd3Au
Source: the Alexandria database
Functional: GGA-PBE
Structure: optimized geometry Values from VASP.

Geometry as Quantum ESPRESSO input:
```
&SYSTEM
  ibrav = 0, nat = 6, ntyp = 3
/
ATOMIC_SPECIES
Cd 112.41 Cd.upf
Pd 106.42 Pd.upf
Au 196.97 Au.upf
CELL_PARAMETERS angstrom
2.8193 0.0000 0.0000
0.0000 5.1280 0.0000
-1.4096 -2.5640 7.8583
ATOMIC_POSITIONS angstrom
Cd 1.4096 2.5640 2.4109
Cd 0.0000 0.0000 5.4474
Pd 0.0000 2.5640 0.0000
Pd 1.4096 2.5640 5.1040
Pd 0.0000 0.0000 2.7543
Au 0.0000 0.0000 0.0000
```

Output
spin magnetization: 0.0 μB/f.u.
DOS at the Fermi energy: 3.0 states/eV per cell

Stability verdict: P), ahead by 330 meV per atom